[1]
{
  "formula": "ReB3P",
  "functional": "GGA-PBE",
  "state": "relaxed",
  "lattice": [[3.7844, 0.0000, 0.0000], [0.0000, 3.7844, 0.0000], [0.0000, 0.0000, 3.7844]],
  "species": ["Re", "B", "B", "B", "P"],
  "frac_coords": [[0.0000, 0.0000, 0.0000], [0.0000, 0.5000, 0.5000], [0.5000, 0.0000, 0.5000], [0.5000, 0.5000, 0.0000], [0.5000, 0.5000, 0.5000]],
  "dos_at_fermi_per_ev_cell": 3.395,
  "relative_energy_mev_per_atom": 178.9,
  "ef_ev_per_fu": 8.896
}

=====

[2]
{
  "formula": "SmCo2Si2",
  "functional": "GGA-PBE",
  "state": "relaxed",
  "lattice": [[3.9164, 0.0000, 0.0000], [0.0000, 3.9164, 0.0000], [0.0000, 0.0000, 4.9761]],
  "species": ["Sm", "Co", "Co", "Si", "Si"],
  "frac_coords": [[0.0000, 0.0000, 0.0000], [0.0000, 0.5000, 0.5000], [0.5000, 0.0000, 0.5000], [0.5000, 0.5000, 0.2482], [0.5000, 0.5000, 0.7518]],
  "dos_at_fermi_per_ev_cell": 3.186,
  "e_form_raw_ev_per_atom": -0.669
}

=====

[3]
{
  "formula": "SnSeS",
  "functional": "GGA-PBE",
  "state": "relaxed",
  "lattice": [[0.0000, 5.4118, 15.6247], [1.9883, 0.0000, 15.6247], [1.9883, 5.4118, 0.0000]],
  "species": ["Sn", "Sn", "Sn", "Sn", "Se", "Se", "Se", "Se", "S", "S", "S", "S"],
  "frac_coords": [[0.0304, 0.0304, 0.7196], [0.2804, 0.2804, 0.9696], [0.7196, 0.7196, 0.0304], [0.9696, 0.9696, 0.2804], [0.0606, 0.6894, 0.0606], [0.3106, 0.9394, 0.3106], [0.6894, 0.0606, 0.6894], [0.9394, 0.3106, 0.9394], [0.2810, 0.2810, 0.4690], [0.4690, 0.4690, 0.2810], [0.5310, 0.5310, 0.7190], [0.7190, 0.7190, 0.5310]],
  "dos_at_fermi_per_ev_cell": 3.172,
  "relative_energy_mev_per_atom": 291.3,
  "e_form_raw_ev_per_atom": -0.068
}